Below is a geometry-optimized CaTbErCd structure, with properties calculated at the GGA-PBE level.

```
CaTbErCd
1.0
5.494 0.000 0.000
2.747 4.758 0.000
2.747 1.586 4.486
Ca Er Tb Cd
1 1 1 1
direct
0.250 0.250 0.250
0.000 0.000 0.000
0.500 0.500 0.500
0.750 0.750 0.750
```

Summary:
* raw total energy: -3.03 eV per atom
* calculated formation energy: 0.002 eV/atom

---

Below is a geometry-optimized CaErTlCd structure, with properties calculated at the GGA-PBE level.

```
CaErTlCd
1.0
-3.377 1.431 3.905
-0.029 -2.687 4.634
1.878 2.316 4.451
Er Ca Cd Tl
1 1 1 1
direct
0.500 0.500 0.500
0.000 0.000 0.000
0.750 0.750 0.750
0.250 0.250 0.250
```

Summary:
* raw total energy: -2.83 eV per atom
* calculated formation energy: -0.367 eV/atom

---

Below is a geometry-optimized CaErTmCd structure, with properties calculated at the GGA-PBE level.

```
CaErTmCd
1.0
5.489 0.000 0.000
2.745 4.754 0.000
2.745 1.585 4.482
Ca Er Cd Tm
1 1 1 1
direct
0.750 0.750 0.750
0.250 0.250 0.250
0.500 0.500 0.500
0.000 0.000 0.000
```

Summary:
* raw total energy: -2.97 eV per atom
* calculated formation energy: 0.018 eV/atom

---

Below is a geometry-optimized CaEuCd4 structure, with properties calculated at the GGA-PBE level.

```
CaEuCd4
1.0
-4.709 -2.757 2.655
0.647 -2.491 5.496
-2.681 2.539 4.816
Cd Ca Eu
4 1 1
direct
0.625 0.125 0.625
0.625 0.625 0.125
0.625 0.625 0.625
0.125 0.625 0.625
0.250 0.250 0.250
0.000 0.000 0.000
```

Summary:
* raw total energy: -2.97 eV per atom
* calculated formation energy: -0.312 eV/atom

---

Below is a geometry-optimized CaEu2Cd structure, with properties calculated at the GGA-PBE level.

```
CaEu2Cd
1.0
3.939 0.000 0.000
0.000 3.939 0.000
0.000 0.000 9.513
Eu Ca Cd
2 1 1
direct
0.000 0.000 0.202
0.000 0.000 0.798
0.500 0.500 0.500
0.500 0.500 0.000
```

Summary:
* raw total energy: -6.04 eV per atom
* calculated formation energy: -0.174 eV/atom
* energy above the most stable polymorph in this dataset: 0.000 eV/atom

---

Below is a geometry-optimized CaEuCd structure, with properties calculated at the GGA-PBE level.

```
CaEuCd
1.0
3.835 0.000 0.000
0.000 5.545 0.000
0.000 -2.772 4.802
Eu Cd Ca
1 1 1
direct
0.975 0.000 0.000
0.599 0.667 0.333
0.426 0.333 0.667
```

Summary:
* raw total energy: -4.52 eV per atom
* calculated formation energy: -0.120 eV/atom
* energy above the most stable polymorph in this dataset: 0.117 eV/atom

---

Below is a geometry-optimized CaEu2Cd structure, with properties calculated at the GGA-PBE level.

```
CaEu2Cd
1.0
5.226 0.000 0.000
0.000 5.186 0.000
0.000 0.000 5.186
Ca Eu Cd
1 2 1
direct
0.500 0.500 0.500
0.000 0.000 0.500
0.000 0.500 0.000
0.500 0.000 0.000
```

Summary:
* raw total energy: -5.96 eV per atom
* calculated formation energy: -0.097 eV/atom
* energy above the most stable polymorph in this dataset: 0.077 eV/atom

---

Below is a geometry-optimized CaEu2Cd structure, with properties calculated at the GGA-PBE level.

```
CaEu2Cd
1.0
-2.595 2.782 -0.148
-3.057 -0.126 2.266
4.298 7.116 9.391
Eu Ca Cd
2 1 1
direct
0.902 0.902 0.293
0.098 0.098 0.707
0.000 0.000 0.000
0.500 0.500 0.500
```

Summary:
* raw total energy: -5.82 eV per atom
* calculated formation energy: 0.048 eV/atom
* energy above the most stable polymorph in this dataset: 0.222 eV/atom

---

- Which of these has the lowest calculated formation energy?
  CaErTlCd

---

- Which value of raw total energy does entry 1 give?
  -3.03 eV per atom